No. 1
{
  "formula": "Ti2Cu2Re",
  "functional": "PBE",
  "state": "optimized geometry",
  "dft_energy_ev_per_atom": -7.419,
  "ef_mev_per_atom": -133,
  "relative_energy_ev_per_atom": 0.000,
  "cell": [[1.616, -7.386, 0.000], [1.616, 7.386, 0.000], [0.000, 0.000, 3.127]],
  "species": ["Ti", "Ti", "Cu", "Cu", "Re"],
  "fractional_positions": [[0.101, 0.899, 0.000], [0.899, 0.101, 0.000], [0.309, 0.691, 0.500], [0.691, 0.309, 0.500], [0.500, 0.500, 0.500]]
}

No. 2
{
  "formula": "TlPb12Au5",
  "functional": "PBE",
  "state": "optimized geometry",
  "dft_energy_ev_per_atom": -3.548,
  "ef_mev_per_atom": -34,
  "cell": [[-4.693, 4.825, 5.615], [4.693, -4.825, 5.615], [4.693, 4.825, -5.615]],
  "species": ["Tl", "Pb", "Pb", "Pb", "Pb", "Pb", "Pb", "Pb", "Pb", "Pb", "Pb", "Pb", "Pb", "Au", "Au", "Au", "Au", "Au"],
  "fractional_positions": [[0.000, 0.000, 0.000], [0.121, 0.822, 0.300], [0.222, 0.316, 0.538], [0.222, 0.684, 0.906], [0.265, 0.071, 0.806], [0.265, 0.459, 0.194], [0.478, 0.178, 0.300], [0.522, 0.822, 0.700], [0.735, 0.541, 0.806], [0.735, 0.929, 0.194], [0.778, 0.316, 0.094], [0.778, 0.684, 0.462], [0.879, 0.178, 0.700], [0.127, 0.627, 0.500], [0.500, 0.155, 0.655], [0.500, 0.500, 0.000], [0.500, 0.845, 0.345], [0.873, 0.373, 0.500]]
}

No. 3
{
  "formula": "Li2CeMg2",
  "functional": "PBE",
  "state": "optimized geometry",
  "dft_energy_ev_per_atom": -2.449,
  "ef_mev_per_atom": 141,
  "cell": [[-2.053, 2.053, 7.420], [2.053, -2.053, 7.420], [2.053, 2.053, -7.420]],
  "species": ["Li", "Li", "Ce", "Mg", "Mg"],
  "fractional_positions": [[0.250, 0.750, 0.500], [0.750, 0.250, 0.500], [0.000, 0.000, 0.000], [0.391, 0.391, 0.000], [0.609, 0.609, 0.000]]
}

No. 4
{
  "formula": "NaSr2YSe4",
  "functional": "PBE",
  "state": "optimized geometry",
  "dft_energy_ev_per_atom": -4.978,
  "formation_energy_uncorrected_kj_per_mol_atoms": -177.8,
  "cell": [[7.404, 0.000, 0.000], [0.000, 4.318, 0.000], [-2.393, 0.000, 7.087]],
  "species": ["Na", "Sr", "Sr", "Y", "Se", "Se", "Se", "Se"],
  "fractional_positions": [[0.000, 0.000, 0.000], [0.500, 0.000, 0.500], [0.500, 0.500, 0.000], [0.000, 0.500, 0.500], [0.230, 0.000, 0.736], [0.237, 0.500, 0.259], [0.763, 0.500, 0.741], [0.770, 0.000, 0.264]]
}

No. 5
{
  "formula": "MnAlOs",
  "functional": "PBE",
  "state": "optimized geometry",
  "dft_energy_ev_per_atom": -8.298,
  "ef_mev_per_atom": -250,
  "cell": [[-1.431, 1.431, 4.691], [1.431, -1.431, 4.691], [1.431, 1.431, -4.691]],
  "species": ["Mn", "Al", "Os"],
  "fractional_positions": [[0.000, 0.000, 0.000], [0.339, 0.339, 0.000], [0.661, 0.661, 0.000]]
}

No. 6
{
  "formula": "Cs2Rb5Pb",
  "functional": "PBE",
  "state": "optimized geometry",
  "dft_energy_ev_per_atom": -1.246,
  "ef_mev_per_atom": 36,
  "cell": [[10.348, -4.434, 0.000], [10.348, 4.434, 0.000], [-3.793, 0.000, 8.016]],
  "species": ["Cs", "Cs", "Rb", "Rb", "Rb", "Rb", "Rb", "Pb"],
  "fractional_positions": [[0.000, 0.000, 0.000], [0.500, 0.500, 0.500], [0.030, 0.548, 0.048], [0.030, 0.549, 0.530], [0.104, 0.104, 0.604], [0.548, 0.030, 0.048], [0.549, 0.030, 0.530], [0.911, 0.911, 0.411]]
}

No. 7
{
  "formula": "Cr2SbPt",
  "functional": "PBE",
  "state": "optimized geometry",
  "dft_energy_ev_per_atom": -7.228,
  "formation_energy_uncorrected_kj_per_mol_atoms": 12.0,
  "cell": [[-1.974, 1.974, 3.915], [1.974, -1.974, 3.915], [1.974, 1.974, -3.915]],
  "species": ["Cr", "Cr", "Sb", "Pt"],
  "fractional_positions": [[0.000, 0.000, 0.000], [0.750, 0.250, 0.500], [0.250, 0.750, 0.500], [0.500, 0.500, 0.000]]
}

No. 8
{
  "formula": "MgMn2Cl",
  "functional": "PBE",
  "state": "optimized geometry",
  "dft_energy_ev_per_atom": -5.220,
  "relative_energy_ev_per_atom": 0.348,
  "formation_energy_uncorrected_kj_per_mol_atoms": 21.7,
  "cell": [[3.027, 0.000, 0.000], [0.000, 4.883, 0.000], [-0.235, 0.000, 4.782]],
  "species": ["Mg", "Mn", "Mn", "Cl"],
  "fractional_positions": [[0.000, 0.000, 0.000], [0.303, 0.500, 0.232], [0.697, 0.500, 0.768], [0.500, 0.000, 0.500]]
}

No. 9
{
  "formula": "ZrNpTcNi",
  "functional": "PBE",
  "state": "optimized geometry",
  "dft_energy_ev_per_atom": -9.451,
  "ef_mev_per_atom": -42,
  "cell": [[0.000, 3.303, 3.303], [3.303, 0.000, 3.303], [3.303, 3.303, 0.000]],
  "species": ["Zr", "Np", "Tc", "Ni"],
  "fractional_positions": [[0.000, 0.000, 0.000], [0.500, 0.500, 0.500], [0.250, 0.250, 0.250], [0.750, 0.750, 0.750]]
}

No. 10
{
  "formula": "LaCd2Br",
  "functional": "PBE",
  "state": "optimized geometry",
  "dft_energy_ev_per_atom": -2.552,
  "relative_energy_ev_per_atom": 0.168,
  "formation_energy_uncorrected_kj_per_mol_atoms": -42.9,
  "cell": [[4.508, 0.000, 0.000], [0.000, 4.508, 0.000], [0.000, 0.000, 6.021]],
  "species": ["La", "Cd", "Cd", "Br"],
  "fractional_positions": [[0.000, 0.000, 0.000], [0.500, 0.500, 0.249], [0.500, 0.500, 0.751], [0.000, 0.000, 0.500]]
}